The following is a DFT calculation (PBE) of an optimized crystal structure of Cs2PIBr5.

Results
uncorrected formation energy: -8.1 eV/f.u.
VASP energy: -50.29 eV/cell
density of states at the Fermi level: 0.4547 states/eV/atom

```
data_Cs2PIBr5
_symmetry_space_group_name_H-M 'I 4 m m'
_symmetry_Int_Tables_number 107
_symmetry_space_group_name_Hall 'I 4 -2'
_cell_length_a 7.976
_cell_length_b 7.976
_cell_length_c 10.758
_cell_angle_alpha 90.00
_cell_angle_beta 90.00
_cell_angle_gamma 90.00
loop_
_atom_site_label
_atom_site_fract_x
_atom_site_fract_y
_atom_site_fract_z
Cs1 0.000 0.500 0.000
P1 0.000 0.000 0.250
I1 0.000 0.000 0.994
Br1 0.000 0.000 0.478
Br2 0.222 0.222 0.251
```

The following is a DFT calculation (PBE) of an optimized crystal structure of Cs2PaI4Br2.

Results
uncorrected formation energy: -12.7 eV/f.u.
VASP energy: -66.94 eV/cell
density of states at the Fermi level: 0.1020 states/eV/atom

```
data_Cs2PaI4Br2
_symmetry_space_group_name_H-M 'C 1 2/m 1'
_symmetry_Int_Tables_number 12
_cell_length_a 14.225
_cell_length_b 8.618
_cell_length_c 7.108
_cell_angle_alpha 90.00
_cell_angle_beta 96.76
_cell_angle_gamma 90.00
loop_
_symmetry_equiv_pos_as_xyz
'x,y,z'
'-x,-y,-z'
'-x,y,-z'
'x,-y,z'
'x+1/2,y+1/2,z'
'-x+1/2,-y+1/2,-z'
'-x+1/2,y+1/2,-z'
'x+1/2,-y+1/2,z'
loop_
_atom_site_label
_atom_site_fract_x
_atom_site_fract_y
_atom_site_fract_z
Cs1 0.163 0.000 0.272
Pa1 0.000 0.500 0.000
I1 0.096 0.247 0.788
Br1 0.154 0.500 0.279
```

The following is a DFT calculation (PBE) of an optimized crystal structure of Cs2PaI2Br4.

Results
uncorrected formation energy: -14.0 eV/f.u.
VASP energy: -69.92 eV/cell
density of states at the Fermi level: 0.0796 states/eV/atom

```
data_Cs2PaI2Br4
_symmetry_space_group_name_H-M 'C 1 2/m 1'
_symmetry_Int_Tables_number 12
_cell_length_a 14.488
_cell_length_b 8.180
_cell_length_c 6.950
_cell_angle_alpha 90.00
_cell_angle_beta 93.32
_cell_angle_gamma 90.00
loop_
_symmetry_equiv_pos_as_xyz
'x,y,z'
'-x,-y,-z'
'-x,y,-z'
'x,-y,z'
'x+1/2,y+1/2,z'
'-x+1/2,-y+1/2,-z'
'-x+1/2,y+1/2,-z'
'x+1/2,-y+1/2,z'
loop_
_atom_site_label
_atom_site_fract_x
_atom_site_fract_y
_atom_site_fract_z
Cs1 0.166 0.000 0.224
Pa1 0.000 0.500 0.000
I1 0.179 0.500 0.259
Br1 0.075 0.254 0.776
```

The following is a DFT calculation (PBE) of an optimized crystal structure of Cs2PaIBr6.

Results
uncorrected formation energy: -14.2 eV/f.u.
VASP energy: -222.14 eV/cell
density of states at the Fermi level: 0.5794 states/eV/atom

```
data_Cs2PaIBr6
_symmetry_space_group_name_H-M 'R -3 m'
_symmetry_Int_Tables_number 166
_symmetry_space_group_name_Hall '-R 3 2"'
_cell_length_a 9.9779
_cell_length_b 9.9779
_cell_length_c 43.3246
_cell_angle_alpha 90.00
_cell_angle_beta 90.00
_cell_angle_gamma 120.00
loop_
_atom_site_label
_atom_site_fract_x
_atom_site_fract_y
_atom_site_fract_z
Cs1 0.0000 0.0000 0.1073
Cs2 0.0000 0.0000 0.3023
Pa1 0.0000 0.0000 0.0000
Pa2 0.0000 0.0000 0.5000
I1 0.0000 0.0000 0.3833
Br1 0.0702 0.5351 0.1316
Br2 0.0806 0.5403 0.7047
```

The following is a DFT calculation (PBE) of an optimized crystal structure of Cs2PaI6Br.

Results
uncorrected formation energy: -11.6 eV/f.u.
VASP energy: -202.52 eV/cell
density of states at the Fermi level: 0.3574 states/eV/atom

```
data_Cs2PaI6Br
_symmetry_space_group_name_H-M 'R -3 m'
_symmetry_Int_Tables_number 166
_symmetry_space_group_name_Hall '-R 3 2"'
_cell_length_a 9.5509
_cell_length_b 9.5509
_cell_length_c 41.7271
_cell_angle_alpha 90.00
_cell_angle_beta 90.00
_cell_angle_gamma 120.00
loop_
_atom_site_label
_atom_site_fract_x
_atom_site_fract_y
_atom_site_fract_z
Cs1 0.0000 0.0000 0.1232
Cs2 0.0000 0.0000 0.2629
Pa1 0.0000 0.0000 0.0000
Pa2 0.0000 0.0000 0.5000
I1 0.0349 0.5175 0.8593
I2 0.0403 0.5202 0.7077
Br1 0.0000 0.0000 0.4339
```

The following is a DFT calculation (PBE) of an optimized crystal structure of Cs2PbI2Br2.

Results
uncorrected formation energy: -9.2 eV/f.u.
VASP energy: -42.16 eV/cell
density of states at the Fermi level: 0.0000 states/eV/atom

```
data_Cs2PbI2Br2
_symmetry_space_group_name_H-M 'I 4/m m m'
_symmetry_Int_Tables_number 139
_symmetry_space_group_name_Hall '-I 4 2'
_cell_length_a 5.985
_cell_length_b 5.985
_cell_length_c 19.462
_cell_angle_alpha 90.00
_cell_angle_beta 90.00
_cell_angle_gamma 90.00
loop_
_atom_site_label
_atom_site_fract_x
_atom_site_fract_y
_atom_site_fract_z
Cs1 0.000 0.000 0.135
Pb1 0.000 0.000 0.500
I1 0.000 0.000 0.334
Br1 0.000 0.500 0.000
```

- Which formula does entry 2 have?
  Cs2PaI4Br2

Repeat the first record exactly.
The following is a DFT calculation (PBE) of an optimized crystal structure of Cs2PIBr5.

Results
uncorrected formation energy: -8.1 eV/f.u.
VASP energy: -50.29 eV/cell
density of states at the Fermi level: 0.4547 states/eV/atom

```
data_Cs2PIBr5
_symmetry_space_group_name_H-M 'I 4 m m'
_symmetry_Int_Tables_number 107
_symmetry_space_group_name_Hall 'I 4 -2'
_cell_length_a 7.976
_cell_length_b 7.976
_cell_length_c 10.758
_cell_angle_alpha 90.00
_cell_angle_beta 90.00
_cell_angle_gamma 90.00
loop_
_atom_site_label
_atom_site_fract_x
_atom_site_fract_y
_atom_site_fract_z
Cs1 0.000 0.500 0.000
P1 0.000 0.000 0.250
I1 0.000 0.000 0.994
Br1 0.000 0.000 0.478
Br2 0.222 0.222 0.251
```